A relaxed NaMoO3 crystal. Source: Alexandria, functional GGA+U.

Lattice parameters (Å, degrees): 6.4637 7.9342 9.0420 90.00 91.92 90.00
Site moments in Bohr magnetons follow the coordinates.
Fractional coordinates of all 20 atoms:
Na1 0.3835 0.3159 0.5312  0.00
Na2 0.6165 0.6841 0.4688  0.00
Na3 0.1165 0.8159 0.9688  0.00
Na4 0.8835 0.1841 0.0312  0.00
Mo1 0.6054 0.5612 0.8602  0.97
Mo2 0.3946 0.4388 0.1398  0.97
Mo3 0.8946 0.0612 0.6398  0.97
Mo4 0.1054 0.9388 0.3602  0.97
O1 0.6496 0.1589 0.6240  -0.04
O2 0.3504 0.8411 0.3760  -0.04
O3 0.8504 0.6589 0.8760  -0.04
O4 0.1496 0.3411 0.1240  -0.04
O5 0.4885 0.5442 0.6779  -0.03
O6 0.5115 0.4558 0.3221  -0.03
O7 0.0115 0.0442 0.8221  -0.03
O8 0.9885 0.9558 0.1779  -0.03
O9 0.0952 0.1397 0.4924  0.03
O10 0.9048 0.8603 0.5076  0.03
O11 0.4048 0.6397 0.0076  0.03
O12 0.5952 0.3603 0.9924  0.03

Calculated values
* magnetic moment: 0.200 μB/atom
* mass density: 2.4 g/cm³
* VASP energy: -6.26 eV/atom